KLaNiTe3 | GGA-PBE | optimized geometry

Computed properties:
Uncorrected energy ... -4.414 eV per atom
Magnetization ... 0.1 Bohr magnetons per cell
Space-group type ... Cmcm (63)
Polymorph energy (0 for the lowest one) ... 0.034 eV per atom
Volume ... 418 Å³ per cell

a b c (Å): 8.7064 8.7064 11.3199
angles (deg): 90.00 90.00 29.13
Fractional coordinates of all 12 atoms:
1 Te 0.3777 0.3777 0.1006
2 Te 0.9185 0.9185 0.7500
3 K 0.2563 0.2563 0.7500
4 K 0.7437 0.7437 0.2500
5 Te 0.0815 0.0815 0.2500
6 Ni 0.5085 0.5085 0.7500
7 La 0.0000 0.0000 0.5000
8 Ni 0.4915 0.4915 0.2500
9 Te 0.6223 0.6223 0.8994
10 La 0.0000 0.0000 0.0000
11 Te 0.6223 0.6223 0.6006
12 Te 0.3777 0.3777 0.3994


HoAgGeO3 | GGA-PBE | optimized geometry

Computed properties:
Uncorrected energy ... -6.178 eV per atom
Magnetization ... 0.0 Bohr magnetons per cell
Space-group type ... Cmcm (63)
Volume ... 164 Å³ per cell

a b c (Å): 8.2620 8.2620 6.7346
angles (deg): 90.00 90.00 159.14
Fractional coordinates of all 12 atoms:
1 Ag 0.3181 0.6819 0.2500
2 Ho 0.0000 0.0000 0.0000
3 O 0.1340 0.8659 0.0655
4 O 0.1340 0.8659 0.4345
5 Ge 0.6790 0.3211 0.2500
6 O 0.8659 0.1340 0.5655
7 Ag 0.6819 0.3181 0.7500
8 O 0.8659 0.1340 0.9345
9 O 0.5150 0.4850 0.7500
10 Ge 0.3211 0.6790 0.7500
11 Ho 0.0000 0.0000 0.5000
12 O 0.4850 0.5150 0.2500


MgCdTeO | GGA-PBE | optimized geometry

Computed properties:
Uncorrected energy ... -3.636 eV per atom
Space-group type ... P2_12_12_1 (19)
Polymorph energy (0 for the lowest one) ... 0.321 eV per atom
Volume ... 395 Å³ per cell

a b c (Å): 6.3657 7.9624 7.7997
angles (deg): 90.00 90.00 90.00
Fractional coordinates of all 16 atoms:
1 Mg 0.7881 0.8727 0.8091
2 O 0.4507 0.7043 0.3754
3 Mg 0.2119 0.3727 0.6909
4 Mg 0.7119 0.1273 0.3091
5 Cd 0.2737 0.8301 0.5754
6 Te 0.9728 0.8844 0.1351
7 Cd 0.7263 0.3301 0.9246
8 Cd 0.7737 0.6699 0.4246
9 Mg 0.2881 0.6273 0.1909
10 Te 0.0272 0.3844 0.3649
11 O 0.5493 0.2043 0.1246
12 Te 0.5272 0.1156 0.6351
13 Te 0.4728 0.6156 0.8649
14 O 0.9507 0.7957 0.6246
15 O 0.0493 0.2957 0.8754
16 Cd 0.2263 0.1699 0.0754


AsAuO3 | GGA-PBE | optimized geometry

Computed properties:
Uncorrected energy ... -5.056 eV per atom
Space-group type ... Fd-3m (227)
Volume ... 238 Å³ per cell

a b c (Å): 6.9517 6.9517 6.9517
angles (deg): 60.00 60.00 60.00
Fractional coordinates of all 20 atoms:
1 O 0.8039 0.8039 0.1961
2 O 0.8039 0.1961 0.1961
3 O 0.0539 0.0539 0.4461
4 Au 0.6250 0.6250 0.1250
5 O 0.0539 0.4461 0.0539
6 O 0.1961 0.8039 0.8039
7 O 0.1961 0.1961 0.8039
8 O 0.4461 0.0539 0.4461
9 O 0.4461 0.4461 0.0539
10 O 0.0539 0.4461 0.4461
11 As 0.1250 0.6250 0.1250
12 O 0.8039 0.1961 0.8039
13 Au 0.1250 0.6250 0.6250
14 As 0.6250 0.1250 0.1250
15 Au 0.6250 0.1250 0.6250
16 As 0.1250 0.1250 0.6250
17 O 0.4461 0.0539 0.0539
18 Au 0.6250 0.6250 0.6250
19 As 0.1250 0.1250 0.1250
20 O 0.1961 0.8039 0.1961


ScFeGe | GGA-PBE | optimized geometry

Computed properties:
Uncorrected energy ... -6.595 eV per atom
Magnetization ... 6.2 Bohr magnetons per cell
Space-group type ... P-62m (189)
Volume ... 150 Å³ per cell

a b c (Å): 7.2836 7.2836 3.2592
angles (deg): 90.00 90.00 120.00
Each line ends with the local moment (μB).
Fractional coordinates of all 9 atoms:
1 Fe 0.6174 0.0000 0.5000  2.44
2 Ge 0.3333 0.6667 0.0000  -0.01
3 Ge 0.0000 0.0000 0.5000  0.01
4 Fe 0.3826 0.3826 0.5000  2.44
5 Sc 0.2818 0.0000 0.0000  -0.24
6 Sc 0.0000 0.2818 0.0000  -0.24
7 Ge 0.6667 0.3333 0.0000  -0.01
8 Fe 0.0000 0.6174 0.5000  2.46
9 Sc 0.7182 0.7182 0.0000  -0.24


Gd2Lu5Hg | GGA-PBE | optimized geometry

Computed properties:
Uncorrected energy ... -4.067 eV per atom
Magnetization ... 0.8 Bohr magnetons per cell
Space-group type ... Amm2 (38)
Volume ... 229 Å³ per cell
Formation enthalpy at 0 K ... -39 meV/atom

a b c (Å): 5.4652 6.9513 6.9513
angles (deg): 60.07 90.00 90.00
Each line ends with the local moment (μB).
Fractional coordinates of all 8 atoms:
1 Lu 0.5000 0.3321 0.8358  0.09
2 Lu 0.0000 0.6739 0.1590  0.07
3 Gd 0.5000 0.3292 0.3292  0.09
4 Lu 0.5000 0.8358 0.3321  0.07
5 Lu 0.0000 0.1590 0.6739  0.06
6 Lu 0.5000 0.8352 0.8352  0.07
7 Gd 0.0000 0.6718 0.6718  0.07
8 Hg 0.0000 0.1629 0.1629  0.01


NbFeSiHg | GGA-PBE | optimized geometry

Computed properties:
Uncorrected energy ... -5.516 eV per atom
Magnetization ... 1.0 Bohr magnetons per cell
Space-group type ... F-43m (216)
Polymorph energy (0 for the lowest one) ... 0.174 eV per atom
Volume ... 65 Å³ per cell

a b c (Å): 4.5074 4.5074 4.5074
angles (deg): 60.00 60.00 60.00
Fractional coordinates of all 4 atoms:
1 Fe 0.7500 0.7500 0.7500
2 Si 0.0000 0.0000 0.0000
3 Nb 0.5000 0.5000 0.5000
4 Hg 0.2500 0.2500 0.2500


MoI3 | GGA-PBE | optimized geometry

Computed properties:
Uncorrected energy ... -4.151 eV per atom
Magnetization ... 0.0 Bohr magnetons per cell
Space-group type ... P2_1/m (11)
Volume ... 1871 Å³ per cell

a b c (Å): 10.7814 18.1727 10.9178
angles (deg): 90.00 118.98 90.00
Fractional coordinates of all 48 atoms:
1 I 0.7459 0.4934 0.4991
2 I 0.7459 0.0066 0.4991
3 I 0.2541 0.9934 0.5009
4 I 0.9140 0.4123 0.9914
5 I 0.1640 0.4352 0.7900
6 Mo 0.5599 0.9005 0.0047
7 I 0.3665 0.0702 0.2031
8 Mo 0.5976 0.0023 0.1993
9 I 0.1822 0.3284 0.4320
10 I 0.4900 0.6353 0.2119
11 I 0.0860 0.5877 0.0086
12 I 0.3665 0.4298 0.2031
13 I 0.2883 0.8597 0.7992
14 I 0.7117 0.1403 0.2009
15 I 0.1640 0.0648 0.7900
16 I 0.9140 0.0877 0.9914
17 Mo 0.5599 0.5995 0.0047
18 I 0.6335 0.9298 0.7969
19 I 0.5994 0.2500 0.5022
20 I 0.1216 0.7500 0.4194
21 I 0.8178 0.6716 0.5680
22 Mo 0.3348 0.5341 0.0015
23 I 0.8178 0.8284 0.5680
24 I 0.5100 0.1353 0.7881
25 I 0.4006 0.7500 0.4978
26 I 0.8360 0.9352 0.2100
27 Mo 0.6652 0.4659 0.9985
28 Mo 0.6652 0.0341 0.9985
29 I 0.4900 0.8647 0.2119
30 I 0.6699 0.7500 0.0166
31 I 0.8784 0.2500 0.5806
32 I 0.9051 0.2500 0.9929
33 Mo 0.3348 0.9659 0.0015
34 Mo 0.4024 0.9977 0.8007
35 I 0.0860 0.9123 0.0086
36 Mo 0.5976 0.4977 0.1993
37 I 0.2883 0.6403 0.7992
38 I 0.1822 0.1716 0.4320
39 I 0.3301 0.2500 0.9834
40 Mo 0.4024 0.5023 0.8007
41 I 0.8360 0.5648 0.2100
42 I 0.0949 0.7500 0.0071
43 Mo 0.4401 0.0995 0.9953
44 I 0.6335 0.5702 0.7969
45 I 0.5100 0.3647 0.7881
46 I 0.2541 0.5066 0.5009
47 Mo 0.4401 0.4005 0.9953
48 I 0.7117 0.3597 0.2009